This record from the Alexandria database describes an optimized crystal structure of PmEuCoCu. The functional is PBE.

The structure belongs to space group F-43m (No. 216); the cell edges are 7.010, 7.010 and 7.010 Å and the angles 90.00°, 90.00° and 90.00°. The asymmetric unit holds Pm at (0.000, 0.000, 0.000), Eu at (0.000, 0.000, 0.500), Co at (0.250, 0.250, 0.250) and Cu at (0.250, 0.250, 0.750).

As for the formation enthalpy at 0 K: 29 meV/atom.


This record from the Alexandria database describes an optimized crystal structure of YMo2P. The functional is PBE.

The structure belongs to space group I-4m2 (No. 119); the cell edges are 4.343, 4.343 and 7.313 Å and the angles 90.00°, 90.00° and 90.00°. The asymmetric unit holds Y at (0.000, 0.000, 0.000), Mo at (0.000, 0.000, 0.500), Mo at (0.000, 0.500, 0.750) and P at (0.000, 0.500, 0.250).

As for the formation enthalpy at 0 K: 109 meV/atom.


This record from the Alexandria database describes an optimized crystal structure of HfCr3Cl. The functional is PBE.

The structure belongs to space group Pm-3m (No. 221); the cell edges are 4.195, 4.195 and 4.195 Å and the angles 90.00°, 90.00° and 90.00°. The asymmetric unit holds Hf at (0.000, 0.000, 0.000), Cr at (0.000, 0.500, 0.500) and Cl at (0.500, 0.500, 0.500).

For the formation energy from raw total energies, the calculation gives 599 meV/atom.


This record from the Alexandria database describes an optimized crystal structure of Ca2YN. The functional is PBE.

The structure belongs to space group R-3m (No. 166, hexagonal axes); the cell edges are 3.5248, 3.5248 and 29.6112 Å and the angles 90.00°, 90.00° and 120.00°. The asymmetric unit holds Ca at (0.0000, 0.0000, 0.1237), Y at (0.0000, 0.0000, 0.0000) and N at (0.0000, 0.0000, 0.5000).

For the formation energy from raw total energies, the calculation gives -420 meV/atom.


This record from the Alexandria database describes an optimized crystal structure of Pr2HfAl. The functional is PBE.

The structure belongs to space group R-3m (No. 166, hexagonal axes); the cell edges are 3.2908, 3.2908 and 35.3493 Å and the angles 90.00°, 90.00° and 120.00°. The asymmetric unit holds Pr at (0.0000, 0.0000, 0.0918), Hf at (0.0000, 0.0000, 0.0000) and Al at (0.0000, 0.0000, 0.5000).

As for the formation enthalpy at 0 K: 360 meV/atom.


This record from the Alexandria database describes an optimized crystal structure of CdAsO2. The functional is PBE.

The structure belongs to space group Fm-3m (No. 225); the cell edges are 5.877, 5.877 and 5.877 Å and the angles 90.00°, 90.00° and 90.00°. The asymmetric unit holds Cd at (0.000, 0.000, 0.000), As at (0.000, 0.000, 0.500) and O at (0.250, 0.250, 0.250).

For the formation energy from raw total energies, the calculation gives -156 meV/atom.


Record order is preserved below.
Magnetic moment: 27.002 0.000 2.434 0.000 0.000 0.000 μB per cell
Record order is preserved below.
DOS at the Fermi energy: 21.38 5.04 3.51 4.75 18.03 4.24 states/eV per cell